{"formula": "CrMoSe", "functional": "PBE-GGA", "state": "optimized geometry", "lattice_angstrom": [[0.000, 2.865, 2.865], [2.865, 0.000, 2.865], [2.865, 2.865, 0.000]], "species": ["Cr", "Mo", "Se"], "fractional_positions": [[0.000, 0.000, 0.000], [0.250, 0.250, 0.250], [0.750, 0.750, 0.750]], "energy_ev_per_atom": -7.783, "magnetic_moment_mub_per_atom": 0.000, "density_g_cm3": 8.0, "n_ef_per_ev_cell": 1.72}